VASP calculation (PBE-GGA) on RbAgHgBr4 after structural relaxation.

formation energy from raw total energies = -17.81 kcal/mol of atoms
size of the total moment = 0.00 Bohr magnetons per cell
final energy = -2.317 eV/atom

Cell lengths 7.1959, 7.8053, 9.3166 Å; angles 90.00, 103.01, 90.00 degrees
With the nearest neighbours (Å) after each atom.
Space group P2_1/m (No. 11)
Symmetry-distinct sites (fractional):
Rb (0.2314, 0.2500, 0.0696) [2 per cell]  6 Br 3.57-3.71, 1 Ag 3.81
Ag (0.3030, 0.2500, 0.6769) [2 per cell]  4 Br 2.71-2.77
Hg (0.2043, 0.7500, 0.3496) [2 per cell]  4 Br 2.60-2.85
Br (0.0539, 0.5011, 0.7278) [4 per cell]  1 Hg 2.69, 1 Ag 2.77
Br (0.3702, 0.7500, 0.0995) [2 per cell]  1 Ag 2.77, 1 Hg 2.85
Br (0.4802, 0.2500, 0.4487) [2 per cell]  1 Hg 2.60, 1 Ag 2.71